This record from Alexandria describes a geometry-optimized KPr4Tl5 structure. The functional is PBE.

Structure (POSCAR):
```
KPr4Tl5
1.0
3.962 0.000 0.000
0.000 3.962 0.000
0.000 0.000 20.345
K Pr Tl
1 4 5
direct
0.000 0.000 0.000
0.000 0.000 0.211
0.000 0.000 0.404
0.000 0.000 0.596
0.000 0.000 0.789
0.500 0.500 0.123
0.500 0.500 0.309
0.500 0.500 0.500
0.500 0.500 0.691
0.500 0.500 0.877
```

=====

This record from Alexandria describes a geometry-optimized YCdP structure. The functional is PBE.

Structure (POSCAR):
```
YCdP
1.0
0.000 2.797 5.772
2.163 0.000 5.772
2.163 2.797 0.000
Y Cd P
1 1 1
direct
0.000 0.000 0.000
0.289 0.289 0.711
0.635 0.635 0.365
```

=====

This record from Alexandria describes a geometry-optimized DySc2TaO8 structure. The functional is PBE.

Structure (POSCAR):
```
DySc2TaO8
1.0
3.449 -3.459 0.000
3.449 3.459 0.000
0.000 0.000 6.646
Dy Sc Ta O
1 2 1 8
direct
0.000 0.000 0.000
0.500 0.500 0.253
0.500 0.500 0.747
0.000 0.000 0.500
0.196 0.196 0.279
0.196 0.196 0.721
0.292 0.708 0.500
0.320 0.680 0.000
0.680 0.320 0.000
0.708 0.292 0.500
0.804 0.804 0.279
0.804 0.804 0.721
```

Calculated values
Its formation energy (no corrections) is -2885 meV/atom.

=====

This record from Alexandria describes a geometry-optimized LaSnAu4 structure. The functional is PBE.

Structure (POSCAR):
```
LaSnAu4
1.0
2.576 -7.442 0.000
2.576 7.442 0.000
0.000 0.000 7.452
La Sn Au
2 2 8
direct
0.122 0.878 0.750
0.878 0.122 0.250
0.361 0.639 0.750
0.639 0.361 0.250
0.078 0.922 0.250
0.277 0.723 0.071
0.277 0.723 0.429
0.500 0.500 0.000
0.500 0.500 0.500
0.723 0.277 0.571
0.723 0.277 0.929
0.922 0.078 0.750
```

=====

This record from Alexandria describes a geometry-optimized LiHg2Ru structure. The functional is PBE.

Structure (POSCAR):
```
LiHg2Ru
1.0
-2.012 2.012 4.347
2.012 -2.012 4.347
2.012 2.012 -4.347
Li Hg Ru
1 2 1
direct
0.000 0.000 0.000
0.500 0.500 0.000
0.750 0.250 0.500
0.250 0.750 0.500
```

=====

This record from Alexandria describes a geometry-optimized Zr2SiSb structure. The functional is PBE.

Structure (POSCAR):
```
Zr2SiSb
1.0
2.018 -2.596 0.000
2.018 2.596 0.000
0.000 0.000 7.936
Zr Si Sb
2 1 1
direct
0.000 0.000 0.225
0.000 0.000 0.775
0.500 0.500 0.000
0.500 0.500 0.500
```

Calculated values
Its formation energy (no corrections) is -536 meV/atom.

=====

This record from Alexandria describes a geometry-optimized AcPr2YAs4 structure. The functional is PBE.

Structure (POSCAR):
```
AcPr2YAs4
1.0
7.496 0.000 0.000
0.000 4.332 0.000
-2.488 0.000 7.072
Ac Pr Y As
1 2 1 4
direct
0.000 0.000 0.000
0.000 0.500 0.500
0.500 0.000 0.500
0.500 0.500 0.000
0.261 0.000 0.753
0.262 0.500 0.254
0.738 0.500 0.746
0.739 0.000 0.247
```

=====

This record from Alexandria describes a geometry-optimized YTcP structure. The functional is PBE.

Structure (POSCAR):
```
YTcP
1.0
-1.594 1.594 5.227
1.594 -1.594 5.227
1.594 1.594 -5.227
Y Tc P
1 1 1
direct
0.000 0.000 0.000
0.293 0.293 0.000
0.699 0.699 0.000
```

=====

This record from Alexandria describes a geometry-optimized NaTbSmTl structure. The functional is PBE.

Structure (POSCAR):
```
NaTbSmTl
1.0
0.000 3.863 3.863
3.863 0.000 3.863
3.863 3.863 0.000
Na Tb Sm Tl
1 1 1 1
direct
0.000 0.000 0.000
0.750 0.750 0.750
0.250 0.250 0.250
0.500 0.500 0.500
```

=====

This record from Alexandria describes a geometry-optimized Pr2Er12In5 structure. The functional is PBE.

Structure (POSCAR):
```
Pr2Er12In5
1.0
8.552 -3.481 0.000
8.552 3.481 0.000
-0.816 0.000 10.236
Pr Er In
2 12 5
direct
0.233 0.767 0.000
0.767 0.233 0.000
0.024 0.024 0.331
0.061 0.554 0.879
0.092 0.615 0.433
0.370 0.370 0.169
0.385 0.908 0.567
0.446 0.939 0.121
0.554 0.061 0.879
0.615 0.092 0.433
0.630 0.630 0.831
0.908 0.385 0.567
0.939 0.446 0.121
0.976 0.976 0.669
0.143 0.143 0.845
0.213 0.213 0.357
0.500 0.500 0.500
0.787 0.787 0.643
0.857 0.857 0.155
```

=====

This record from Alexandria describes a geometry-optimized Zr2TeAu structure. The functional is PBE.

Structure (POSCAR):
```
Zr2TeAu
1.0
1.975 -2.600 0.000
1.975 2.600 0.000
0.000 0.000 9.228
Zr Te Au
2 1 1
direct
0.000 0.000 0.000
0.500 0.500 0.255
0.000 0.000 0.484
0.500 0.500 0.782
```

Calculated values
Its formation energy (no corrections) is -278 meV/atom.

=====

This record from Alexandria describes a geometry-optimized BeCoRu2 structure. The functional is PBE.

Structure (POSCAR):
```
BeCoRu2
1.0
-1.397 2.035 4.046
1.397 -2.035 4.046
1.397 2.035 -4.046
Be Co Ru
1 1 2
direct
0.000 0.000 0.000
0.212 0.712 0.500
0.486 0.486 0.000
0.761 0.261 0.500
```

=====

Values for total energy, eV/atom, ordered as above
-3.529, -4.761, -8.617, -4.072, -2.715, -7.197, -6.314, -8.025, -3.328, -4.109, -6.156, -7.422